A plane-wave DFT calculation with PBE-GGA was carried out for crystalline CrOsSe2 at its relaxed geometry.

Structure (POSCAR):
```
CrOsSe2
1.0
5.518 0.000 0.000
0.000 5.518 0.000
2.759 2.759 5.799
Cr Os Se
2 2 4
Cartesian
2.759 5.518 2.900
2.759 2.759 0.000
5.518 2.759 2.900
0.000 0.000 0.000
6.898 6.955 4.349
4.139 4.081 4.349
1.322 4.139 1.450
4.196 1.380 1.450
```

Summary:
The calculation puts the relative energy among the computed polymorphs at 390.1 meV per atom.

A plane-wave DFT calculation with PBE-GGA was carried out for crystalline K3CdB5O10 at its relaxed geometry.

Structure (POSCAR):
```
K3CdB5O10
1.0
19.603 0.000 0.000
0.000 7.749 -0.073
0.000 4.241 7.442
K O B Cd
12 40 20 4
Cartesian
14.734 6.190 0.599
8.344 9.133 4.704
11.305 4.867 6.184
8.298 7.123 1.185
18.145 4.978 6.386
1.457 7.013 0.983
18.099 2.746 2.463
11.259 2.857 2.665
1.504 9.244 4.906
4.869 5.800 6.770
14.670 8.311 4.320
4.932 3.679 3.049
7.007 6.969 3.664
2.926 7.696 3.172
14.358 3.770 4.648
8.766 3.845 3.277
6.875 9.817 6.893
2.794 9.090 7.384
1.036 5.966 6.998
6.257 3.774 5.392
8.756 2.668 1.218
12.441 7.539 5.796
12.595 5.021 3.705
2.657 5.298 3.214
7.161 4.451 1.573
8.769 5.667 6.630
18.570 8.443 4.460
1.033 3.547 2.909
10.837 8.145 4.092
16.963 5.419 2.075
7.145 7.419 6.935
16.059 10.337 5.698
1.045 4.788 4.939
14.894 5.703 3.313
13.345 8.216 1.977
4.556 10.341 6.442
14.510 7.824 7.033
4.709 6.287 4.056
5.245 8.220 2.721
10.847 9.323 6.151
12.728 2.173 0.476
16.676 4.294 4.197
10.834 6.323 0.739
18.567 6.025 0.371
3.544 1.653 1.671
16.946 6.692 4.155
16.809 2.900 -0.015
18.557 7.202 2.430
15.046 1.649 0.927
2.640 6.572 5.294
12.458 4.571 0.434
5.092 4.166 0.336
3.239 6.464 3.935
8.228 6.666 7.365
1.573 4.545 3.644
11.384 8.302 5.319
5.676 7.129 3.509
18.030 7.445 3.725
1.583 5.809 5.771
3.871 8.453 2.480
13.672 1.417 1.168
5.930 10.574 6.201
18.020 6.182 1.598
13.040 7.647 7.155
8.218 3.688 2.050
15.477 2.741 0.140
4.126 9.249 7.229
15.732 3.537 4.889
13.927 4.862 3.860
16.364 5.526 3.434
6.563 4.343 0.214
11.374 5.324 0.004
11.826 6.774 2.660
17.577 8.895 6.381
2.025 3.096 0.988
7.776 5.216 4.709
```

A plane-wave DFT calculation with PBE-GGA was carried out for crystalline PrSm2S3 at its relaxed geometry.

Structure (POSCAR):
```
PrSm2S3
1.0
-3.426 1.989 0.825
-1.216 0.220 -5.579
-0.634 -6.374 2.813
Sm S Pr
2 3 1
Cartesian
-3.988 0.753 -3.491
-1.288 -4.919 1.550
-2.030 -2.193 1.819
-1.939 -4.887 -1.233
-3.336 0.721 -0.708
-2.638 -2.083 -0.970
```

Summary:
The calculation puts the relative energy among the computed polymorphs at 0.0 meV per atom.

A plane-wave DFT calculation with PBE-GGA was carried out for crystalline Mg2ReTc at its relaxed geometry.

Structure (POSCAR):
```
Mg2ReTc
1.0
-3.500 1.642 -2.492
-0.233 -2.372 -1.236
-3.429 -2.656 3.066
Tc Mg Re
1 2 1
Cartesian
-4.497 -2.950 0.127
-1.836 -2.549 0.899
-3.657 -4.993 1.847
-2.666 -0.436 -0.788
```

Summary:
The calculation puts the relative energy among the computed polymorphs at 248.2 meV per atom. The calculation puts the energy of formation from the pure elements at 0.267 eV/atom.

A plane-wave DFT calculation with PBE-GGA was carried out for crystalline Dy12Y5Tm2 at its relaxed geometry.

Structure (POSCAR):
```
Dy12Y5Tm2
1.0
0.504 -4.236 4.882
8.853 -0.303 0.481
-5.047 8.946 5.890
Dy Y Tm
12 5 2
Cartesian
-0.323 4.371 5.374
-1.042 1.201 4.490
1.585 1.408 7.195
1.210 7.462 5.573
4.192 6.062 4.987
2.725 2.999 4.059
0.118 -1.655 6.266
6.203 -2.344 4.055
-1.893 6.751 7.198
4.633 0.035 5.880
3.100 -3.056 5.680
5.352 3.205 6.764
2.265 4.731 7.303
-2.523 4.473 2.945
-1.074 3.685 8.794
2.045 -0.324 3.950
5.384 0.721 2.459
8.649 -1.073 1.989
-4.339 5.480 9.264
```

Summary:
The calculation puts the relative energy among the computed polymorphs at 0.0 meV per atom. The calculation puts the energy of formation from the pure elements at 0.090 eV/atom.

A plane-wave DFT calculation with PBE-GGA was carried out for crystalline TlBrCl at its relaxed geometry.

Structure (POSCAR):
```
TlBrCl
1.0
-2.826 -2.744 -5.283
3.248 4.825 -3.098
3.973 -4.230 3.609
Br Cl Tl
2 2 2
Cartesian
1.954 -0.028 -5.334
2.533 -1.671 -1.254
-1.648 -1.343 -4.499
2.035 3.248 -3.174
0.120 0.592 -2.383
0.329 1.620 -6.525
```

Summary:
The calculation puts the relative energy among the computed polymorphs at 0.0 meV per atom.

A plane-wave DFT calculation with PBE-GGA was carried out for crystalline Cs2TeI6Br at its relaxed geometry.

Structure (POSCAR):
```
Cs2TeI6Br
1.0
9.268 0.000 0.000
0.000 9.268 0.000
4.634 4.634 5.874
I Te Cs Br
6 1 2 1
Cartesian
4.634 4.634 2.870
2.102 2.102 0.000
2.102 7.166 0.000
7.166 7.166 0.000
7.166 2.102 0.000
9.268 9.268 3.003
0.000 0.000 0.000
9.268 4.634 2.937
4.634 9.268 2.937
4.634 4.634 0.000
```

A plane-wave DFT calculation with PBE-GGA was carried out for crystalline B2MoRu2 at its relaxed geometry.

Structure (POSCAR):
```
B2MoRu2
1.0
-3.870 4.817 1.201
1.070 -0.678 6.166
2.146 1.768 -0.178
B Ru Mo
4 4 2
Cartesian
-0.185 0.462 2.360
-0.457 1.127 5.693
-2.615 3.677 5.008
-2.343 3.012 1.674
-0.118 2.465 1.260
1.186 1.168 4.104
-0.536 3.442 5.930
-1.840 4.739 3.086
-1.400 2.069 3.684
0.000 0.000 0.000
```

Summary:
The calculation puts the energy of formation from the pure elements at -0.111 eV/atom.

The records above yield Fermi-level density of states values of 5.6, 0.0, 2.5, 2.8, 28.3, 0.0, 1.7, 6.1 states/eV/cell, respectively.
The records above yield uncorrected energy values of -6.636, -6.838, -6.453, -6.234, -4.988, -2.679, -2.283, -8.659 eV/atom, respectively.